# 1
A plane-wave DFT calculation with PBE was carried out for a relaxed Mo3Ir2N crystal.

Cell and atoms, written as POSCAR:
```
Mo3Ir2N
1.0
6.864 0.000 0.000
0.000 6.864 0.000
0.000 0.000 6.864
Mo Ir N
12 8 4
Direct
0.048 0.125 0.798
0.125 0.798 0.048
0.202 0.548 0.375
0.298 0.452 0.875
0.375 0.202 0.548
0.452 0.875 0.298
0.548 0.375 0.202
0.625 0.702 0.952
0.702 0.952 0.625
0.798 0.048 0.125
0.875 0.298 0.452
0.952 0.625 0.702
0.059 0.941 0.441
0.191 0.191 0.191
0.309 0.809 0.691
0.441 0.059 0.941
0.559 0.559 0.559
0.691 0.309 0.809
0.809 0.691 0.309
0.941 0.441 0.059
0.125 0.375 0.625
0.375 0.625 0.125
0.625 0.125 0.375
0.875 0.875 0.875
```

Output
ΔE_f (raw) = -306.4 meV/atom
calculated volume = 323.39 Å³ per cell
total energy = -10.06 eV/atom
density = 14.1 g/cm³

# 2
A plane-wave DFT calculation with PBE was carried out for a relaxed Zr5AlSi2 crystal.

Cell and atoms, written as POSCAR:
```
Zr5AlSi2
1.0
-1.776 3.406 6.921
1.776 -3.406 6.921
1.776 3.406 -6.921
Zr Al Si
5 1 2
Direct
0.000 0.000 0.000
0.137 0.363 0.773
0.410 0.637 0.773
0.590 0.363 0.227
0.863 0.637 0.227
0.500 0.000 0.500
0.199 0.199 0.000
0.801 0.801 0.000
```

Output
excess energy over the best structure of this formula in the dataset = 0.020 eV/atom
ΔE_f (raw) = -431.6 meV/atom
calculated volume = 167.40 Å³ per cell
total energy = -7.60 eV/atom
density = 5.3 g/cm³

# 3
A plane-wave DFT calculation with PBE was carried out for a relaxed TbAl3Cu2 crystal.

Cell and atoms, written as POSCAR:
```
TbAl3Cu2
1.0
5.359 0.000 0.000
-2.679 4.641 0.000
0.000 0.000 4.047
Tb Al Cu
1 3 2
Direct
0.000 0.000 0.000
0.000 0.500 0.500
0.500 0.000 0.500
0.500 0.500 0.500
0.333 0.667 0.000
0.667 0.333 0.000
```

Output
energy of formation = -42 kJ/mol of atoms
calculated volume = 100.66 Å³ per cell
total energy = -4.45 eV/atom
density = 6.1 g/cm³